Computed, not measured: crystalline ReAs2RuI at its relaxed geometry at the PBE level of DFT.

Cell lengths 4.698, 4.698, 5.825 Å; angles 90.00, 90.00, 90.00 degrees
Element x y z (fractional)
Re: 0.000 0.000 0.000
As: 0.000 0.500 0.000
As: 0.500 0.000 0.000
Ru: 0.500 0.500 0.500
I: 0.000 0.000 0.500

ΔE_f (raw) (kJ/mol of atoms): 124
ρ (g/cm³): 7.29
SG: P4/mmm (123)
Crystal system: tetragonal
Total moment (μB per atom): 0.554
Calculated total energy (eV/atom): -5.234